Compound: ZnCdCoAg
Source: the Open Quantum Materials Database
Functional: PBE
Structure: relaxed

CIF file:
```
data_ZnCdCoAg
_chemical_formula_sum 'Zn1 Cd1 Co1 Ag1'
_cell_length_a 4.458
_cell_length_b 4.458
_cell_length_c 4.458
_cell_angle_alpha 60.00
_cell_angle_beta 60.00
_cell_angle_gamma 60.00
_space_group_name_H-M_alt 'P 1'
_space_group_IT_number 1
_space_group_name_Hall 'P 1'
loop_
_atom_site_label
_atom_site_fract_x
_atom_site_fract_y
_atom_site_fract_z
_atom_site_occupancy
Zn1 0.000 0.000 0.000 1
Cd1 0.500 0.500 0.500 1
Ag1 0.250 0.250 0.250 1
Co1 0.750 0.750 0.750 1
```

The total energy comes out at -2.828 eV/atom. The value obtained for the energy above the most stable polymorph in this dataset is 0.00 eV per formula unit. The calculation puts the formation energy at 194 meV per atom.

***

Compound: CsCdAg
Source: the Open Quantum Materials Database
Functional: PBE
Structure: relaxed

CIF file:
```
data_CsCdAg
_chemical_formula_sum 'Cs1 Cd1 Ag1'
_cell_length_a 5.718
_cell_length_b 5.718
_cell_length_c 5.718
_cell_angle_alpha 60.00
_cell_angle_beta 60.00
_cell_angle_gamma 60.00
_space_group_name_H-M_alt 'P 1'
_space_group_IT_number 1
_space_group_name_Hall 'P 1'
loop_
_atom_site_label
_atom_site_fract_x
_atom_site_fract_y
_atom_site_fract_z
_atom_site_occupancy
Cs1 0.750 0.750 0.750 1
Cd1 0.250 0.250 0.250 1
Ag1 0.000 0.000 0.000 1
```

The total energy comes out at -1.391 eV/atom. The value obtained for the energy above the most stable polymorph in this dataset is 0.00 eV per formula unit.

***

Compound: Cs2CdAgF6
Source: the Open Quantum Materials Database
Functional: PBE
Structure: relaxed

CIF file:
```
data_Cs2CdAgF6
_chemical_formula_sum 'Cs2 Cd1 Ag1 F6'
_cell_length_a 6.186
_cell_length_b 6.186
_cell_length_c 6.186
_cell_angle_alpha 60.00
_cell_angle_beta 60.00
_cell_angle_gamma 60.00
_space_group_name_H-M_alt 'P 1'
_space_group_IT_number 1
_space_group_name_Hall 'P 1'
loop_
_atom_site_label
_atom_site_fract_x
_atom_site_fract_y
_atom_site_fract_z
_atom_site_occupancy
Cs1 0.750 0.750 0.750 1
F1 0.751 0.249 0.249 1
Ag1 0.500 0.500 0.500 1
F2 0.249 0.751 0.751 1
F3 0.249 0.751 0.249 1
Cs2 0.250 0.250 0.250 1
F4 0.249 0.249 0.751 1
F5 0.751 0.249 0.751 1
F6 0.751 0.751 0.249 1
Cd1 0.000 0.000 0.000 1
```

The total energy comes out at -3.758 eV/atom.

***

Compound: Dy3Cd3CuAg2
Source: the Open Quantum Materials Database
Functional: PBE
Structure: relaxed

CIF file:
```
data_Dy3Cd3CuAg2
_chemical_formula_sum 'Dy3 Cd3 Cu1 Ag2'
_cell_length_a 7.613
_cell_length_b 7.613
_cell_length_c 3.991
_cell_angle_alpha 90.00
_cell_angle_beta 90.00
_cell_angle_gamma 120.00
_space_group_name_H-M_alt 'P 1'
_space_group_IT_number 1
_space_group_name_Hall 'P 1'
loop_
_atom_site_label
_atom_site_fract_x
_atom_site_fract_y
_atom_site_fract_z
_atom_site_occupancy
Cd1 0.000 0.244 0.500 1
Cd2 0.756 0.756 0.500 1
Ag1 0.667 0.333 0.500 1
Cu1 0.000 0.000 0.000 1
Ag2 0.333 0.667 0.500 1
Dy1 0.406 0.406 0.000 1
Cd3 0.244 0.000 0.500 1
Dy2 0.000 0.594 0.000 1
Dy3 0.594 0.000 0.000 1
```

The total energy comes out at -3.200 eV/atom. The calculation puts the formation energy at -327 meV per atom.

***

Compound: Dy2ErCd3Cu2Ag
Source: the Open Quantum Materials Database
Functional: PBE
Structure: relaxed

CIF file:
```
data_Dy2ErCd3Cu2Ag
_chemical_formula_sum 'Dy2 Er1 Cd3 Cu2 Ag1'
_cell_length_a 3.849
_cell_length_b 7.654
_cell_length_c 7.654
_cell_angle_alpha 120.01
_cell_angle_beta 90.00
_cell_angle_gamma 90.00
_space_group_name_H-M_alt 'P 1'
_space_group_IT_number 1
_space_group_name_Hall 'P 1'
loop_
_atom_site_label
_atom_site_fract_x
_atom_site_fract_y
_atom_site_fract_z
_atom_site_occupancy
Cu1 0.500 0.666 0.334 1
Cu2 0.500 0.334 0.666 1
Dy1 0.000 0.000 0.410 1
Er1 0.000 0.590 0.590 1
Cd1 0.500 0.731 0.999 1
Dy2 0.000 0.410 0.000 1
Ag1 0.000 0.999 0.999 1
Cd2 0.500 0.999 0.731 1
Cd3 0.500 0.270 0.270 1
```

The total energy comes out at -3.271 eV/atom. The calculation puts the formation energy at -303 meV per atom.

***

Compound: DyEr2Cd3Cu2Ag
Source: the Open Quantum Materials Database
Functional: PBE
Structure: relaxed

CIF file:
```
data_DyEr2Cd3Cu2Ag
_chemical_formula_sum 'Dy1 Er2 Cd3 Cu2 Ag1'
_cell_length_a 3.844
_cell_length_b 7.635
_cell_length_c 7.635
_cell_angle_alpha 120.00
_cell_angle_beta 90.00
_cell_angle_gamma 90.00
_space_group_name_H-M_alt 'P 1'
_space_group_IT_number 1
_space_group_name_Hall 'P 1'
loop_
_atom_site_label
_atom_site_fract_x
_atom_site_fract_y
_atom_site_fract_z
_atom_site_occupancy
Cu1 0.500 0.667 0.332 1
Er1 0.000 0.000 0.410 1
Cd1 0.500 0.731 0.001 1
Cu2 0.500 0.332 0.667 1
Dy1 0.000 0.590 0.590 1
Er2 0.000 0.410 0.000 1
Cd2 0.500 0.269 0.269 1
Cd3 0.500 0.001 0.731 1
Ag1 0.000 0.000 0.000 1
```

The total energy comes out at -3.265 eV/atom. The calculation puts the formation energy at -301 meV per atom.

***

Compound: Gd2DyCd3Cu2Ag
Source: the Open Quantum Materials Database
Functional: PBE
Structure: relaxed

CIF file:
```
data_Gd2DyCd3Cu2Ag
_chemical_formula_sum 'Gd2 Dy1 Cd3 Cu2 Ag1'
_cell_length_a 3.876
_cell_length_b 7.689
_cell_length_c 7.689
_cell_angle_alpha 120.02
_cell_angle_beta 90.00
_cell_angle_gamma 90.00
_space_group_name_H-M_alt 'P 1'
_space_group_IT_number 1
_space_group_name_Hall 'P 1'
loop_
_atom_site_label
_atom_site_fract_x
_atom_site_fract_y
_atom_site_fract_z
_atom_site_occupancy
Ag1 0.000 0.000 0.000 1
Cd1 0.500 0.732 0.732 1
Gd1 0.000 0.589 0.000 1
Gd2 0.000 0.000 0.589 1
Cd2 0.500 0.268 0.001 1
Cu1 0.500 0.334 0.665 1
Cu2 0.500 0.665 0.334 1
Cd3 0.500 0.001 0.268 1
Dy1 0.000 0.411 0.411 1
```

The total energy comes out at -3.288 eV/atom. The calculation puts the formation energy at -304 meV per atom.

***

Compound: GdDy2Cd3Cu2Ag
Source: the Open Quantum Materials Database
Functional: PBE
Structure: relaxed

CIF file:
```
data_GdDy2Cd3Cu2Ag
_chemical_formula_sum 'Gd1 Dy2 Cd3 Cu2 Ag1'
_cell_length_a 3.864
_cell_length_b 7.684
_cell_length_c 7.684
_cell_angle_alpha 119.98
_cell_angle_beta 90.00
_cell_angle_gamma 90.00
_space_group_name_H-M_alt 'P 1'
_space_group_IT_number 1
_space_group_name_Hall 'P 1'
loop_
_atom_site_label
_atom_site_fract_x
_atom_site_fract_y
_atom_site_fract_z
_atom_site_occupancy
Cd1 0.500 0.999 0.268 1
Cu1 0.500 0.333 0.668 1
Cd2 0.500 0.268 0.999 1
Dy1 0.000 0.590 0.000 1
Cu2 0.500 0.668 0.333 1
Ag1 0.000 0.999 0.999 1
Cd3 0.500 0.732 0.732 1
Dy2 0.000 0.000 0.590 1
Gd1 0.000 0.410 0.410 1
```

The total energy comes out at -3.282 eV/atom. The calculation puts the formation energy at -304 meV per atom.